No. 1
First-principles (GGA-PBEsol) data for a geometry-optimized In2IrRh structure, as listed in the Alexandria database.

Cell lengths 4.570, 4.570, 3.130 Å; angles 90.00, 90.00, 90.00 degrees
Space group P4/mmm (No. 123)
Unique sites:
In (0.000, 0.500, 0.000) (multiplicity 2)
Ir (0.000, 0.000, 0.500) (multiplicity 1)
Rh (0.500, 0.500, 0.500) (multiplicity 1)

Properties
formation enthalpy at 0 K: -0.2415 eV per atom
DOS at the Fermi energy: 1.81 states/eV per cell

No. 2
First-principles (GGA-PBEsol) data for a geometry-optimized InIrRh structure, as listed in the Alexandria database.

Cell lengths 2.838, 3.870, 8.495 Å; angles 90.00, 90.00, 90.00 degrees
Space group Imm2 (No. 44)
Unique sites:
In (0.000, 0.000, 0.000) (multiplicity 2)
Ir (0.000, 0.000, 0.671) (multiplicity 2)
Rh (0.000, 0.000, 0.329) (multiplicity 2)

Properties
formation enthalpy at 0 K: 0.0647 eV per atom
energy relative to the lowest polymorph listed for this composition: 0.0000 eV/atom
DOS at the Fermi energy: 9.80 states/eV per cell

No. 3
First-principles (GGA-PBEsol) data for a geometry-optimized InIr2Ru structure, as listed in the Alexandria database.

Cell lengths 2.794, 4.655, 9.432 Å; angles 90.00, 90.00, 90.00 degrees
Space group Immm (No. 71)
Unique sites:
In (0.000, 0.000, 0.000) (multiplicity 2)
Ir (0.000, 0.500, 0.237) (multiplicity 4)
Ru (0.000, 0.000, 0.500) (multiplicity 2)

Properties
formation enthalpy at 0 K: 0.2868 eV per atom
DOS at the Fermi energy: 8.29 states/eV per cell

No. 4
First-principles (GGA-PBEsol) data for a geometry-optimized InIr2Ru structure, as listed in the Alexandria database.

Cell lengths 3.919, 3.919, 7.812 Å; angles 90.00, 90.00, 90.00 degrees
Space group I4/mmm (No. 139)
Unique sites:
In (0.000, 0.000, 0.000) (multiplicity 2)
Ir (0.000, 0.500, 0.250) (multiplicity 4)
Ru (0.000, 0.000, 0.500) (multiplicity 2)

Properties
formation enthalpy at 0 K: 0.1084 eV per atom
DOS at the Fermi energy: 7.50 states/eV per cell

No. 5
First-principles (GGA-PBEsol) data for a geometry-optimized InSb2Ir structure, as listed in the Alexandria database.

Cell lengths 4.268, 4.268, 4.656 Å; angles 90.00, 90.00, 90.00 degrees
Space group P4/mmm (No. 123)
Unique sites:
In (0.000, 0.000, 0.000) (multiplicity 1)
Sb (0.000, 0.500, 0.500) (multiplicity 2)
Ir (0.500, 0.500, 0.000) (multiplicity 1)

Properties
formation energy from raw total energies: 0.40 eV per atom
DOS at the Fermi energy: 1.80 states/eV per cell

No. 6
First-principles (GGA-PBEsol) data for a geometry-optimized InSb2Ir structure, as listed in the Alexandria database.

Cell lengths 3.272, 3.286, 8.221 Å; angles 90.00, 90.00, 90.00 degrees
Space group Pmmm (No. 47)
Unique sites:
In (0.000, 0.000, 0.000) (multiplicity 1)
Sb (0.500, 0.500, 0.304) (multiplicity 2)
Ir (0.000, 0.000, 0.500) (multiplicity 1)

Properties
formation energy from raw total energies: 0.04 eV per atom
DOS at the Fermi energy: 1.90 states/eV per cell